(1)
# GGA+U Pu2NiO11, relaxed
data_Pu2NiO11
_chemical_formula_sum 'Pu8 Ni4 O44'
_symmetry_space_group_name_H-M 'I b a m'
_symmetry_Int_Tables_number 72
_symmetry_space_group_name_Hall '-I 2 2c'
_cell_length_a 8.7650
_cell_length_b 9.9525
_cell_length_c 10.5061
_cell_angle_alpha 90.00
_cell_angle_beta 90.00
_cell_angle_gamma 90.00
loop_
_atom_site_label
_atom_site_type_symbol
_atom_site_fract_x
_atom_site_fract_y
_atom_site_fract_z
Pu1 Pu 0.1805 0.2295 0.0000
Ni1 Ni 0.0000 0.0000 0.2500
O1 O 0.0000 0.5000 0.0000
O2 O 0.0575 0.3518 0.5000
O3 O 0.1012 0.1146 0.1253
O4 O 0.2469 0.1603 0.3764
# DOS at the Fermi energy = 26.85 states/eV per cell
# Total DFT energy (no corrections) = -7.2825 eV/atom

=====

(2)
# GGA+U Pu2NiO8, relaxed
data_Pu2NiO8
_chemical_formula_sum 'Pu4 Ni2 O16'
_symmetry_space_group_name_H-M 'C 1 2/m 1'
_symmetry_Int_Tables_number 12
_cell_length_a 9.2420
_cell_length_b 6.6085
_cell_length_c 4.7847
_cell_angle_alpha 90.00
_cell_angle_beta 98.81
_cell_angle_gamma 90.00
loop_
_symmetry_equiv_pos_as_xyz
'x,y,z'
'-x,-y,-z'
'-x,y,-z'
'x,-y,z'
'x+1/2,y+1/2,z'
'-x+1/2,-y+1/2,-z'
'-x+1/2,y+1/2,-z'
'x+1/2,-y+1/2,z'
loop_
_atom_site_label
_atom_site_type_symbol
_atom_site_fract_x
_atom_site_fract_y
_atom_site_fract_z
Pu1 Pu 0.1456 0.0000 0.2655
Ni1 Ni 0.0000 0.5000 0.0000
O1 O 0.0686 0.0000 0.7720
O2 O 0.1366 0.2829 0.2419
O3 O 0.1522 0.5000 0.7465
# DOS at the Fermi energy = 1.47 states/eV per cell
# Total DFT energy (no corrections) = -8.3736 eV/atom

=====

(3)
# GGA+U PuNiO3, relaxed
data_PuNiO3
_chemical_formula_sum 'Pu1 Ni1 O3'
_symmetry_space_group_name_H-M 'P m -3 m'
_symmetry_Int_Tables_number 221
_symmetry_space_group_name_Hall '-P 4 2 3'
_cell_length_a 3.8076
_cell_length_b 3.8076
_cell_length_c 3.8076
_cell_angle_alpha 90.00
_cell_angle_beta 90.00
_cell_angle_gamma 90.00
loop_
_atom_site_label
_atom_site_type_symbol
_atom_site_fract_x
_atom_site_fract_y
_atom_site_fract_z
Pu1 Pu 0.0000 0.0000 0.0000
Ni1 Ni 0.5000 0.5000 0.5000
O1 O 0.0000 0.5000 0.5000
# DOS at the Fermi energy = 8.50 states/eV per cell
# Total DFT energy (no corrections) = -8.1652 eV/atom